A plane-wave DFT calculation with PBE was carried out for crystalline La12MgAl4N3 at its relaxed geometry.

Total magnetic moment in μB per formula unit: 0.00
Symmetry: Im-3m, No. 229
Fermi-level density of states in states/eV/cell: 16.857
Formation energy without anion corrections in meV/atom: -414
Calculated volume in Å³/f.u.: 576.9

Cell lengths 9.083, 9.083, 9.083 Å; angles 109.47, 109.47, 109.47 degrees
Atoms (fractional coordinates):
La (0.250, 0.500, 0.750)
La (0.722, 0.000, 0.722)
La (0.278, 0.000, 0.278)
La (0.750, 0.500, 0.250)
La (0.722, 0.722, 0.000)
La (0.278, 0.278, 0.000)
La (0.750, 0.250, 0.500)
La (0.250, 0.750, 0.500)
La (0.500, 0.250, 0.750)
La (0.000, 0.722, 0.722)
La (0.500, 0.750, 0.250)
La (0.000, 0.278, 0.278)
Mg (0.000, 0.000, 0.000)
Al (0.500, 0.500, 0.500)
Al (0.000, 0.000, 0.500)
Al (0.500, 0.000, 0.000)
Al (0.000, 0.500, 0.000)
N (0.500, 0.000, 0.500)
N (0.500, 0.500, 0.000)
N (0.000, 0.500, 0.500)